Record 1
Material: Na2LaAlH8
Method: DFT, GGA-PBE
State: optimized geometry

```
data_Na2LaAlH8
_symmetry_space_group_name_H-M 'P -1'
_symmetry_Int_Tables_number 2
_symmetry_space_group_name_Hall '-P 1'
_cell_length_a 4.6325
_cell_length_b 4.6494
_cell_length_c 6.2894
_cell_angle_alpha 69.90
_cell_angle_beta 89.92
_cell_angle_gamma 89.88
loop_
_atom_site_label
_atom_site_type_symbol
_atom_site_fract_x
_atom_site_fract_y
_atom_site_fract_z
Na1 Na 0.0002 0.1205 0.2128
La1 La 0.5000 0.5000 0.5000
Al1 Al 0.5000 0.5000 0.0000
H1 H 0.0005 0.2863 0.5038
H2 H 0.2503 0.3576 0.8620
H3 H 0.2515 0.6451 0.1381
H4 H 0.4997 0.1607 0.2608
```

Properties
total energy	-41.248	eV/cell

---

Record 2
Material: PuB2PbO6
Method: DFT, GGA-PBE
State: optimized geometry

```
data_PuB2PbO6
_symmetry_space_group_name_H-M 'C 1 2/c 1'
_symmetry_Int_Tables_number 15
_symmetry_space_group_name_Hall '-C 2yc'
_cell_length_a 7.9779
_cell_length_b 10.2358
_cell_length_c 6.7725
_cell_angle_alpha 90.00
_cell_angle_beta 106.92
_cell_angle_gamma 90.00
loop_
_atom_site_label
_atom_site_type_symbol
_atom_site_fract_x
_atom_site_fract_y
_atom_site_fract_z
Pu1 Pu 0.0000 0.0876 0.2500
B1 B 0.2437 0.1342 0.7504
Pb1 Pb 0.0000 0.3838 0.7500
O1 O 0.0871 0.1083 0.5975
O2 O 0.1850 0.2429 0.2283
O3 O 0.1902 0.4684 0.1169
```

Properties
uncorrected formation energy	-2.33	eV per atom

---

Record 3
Material: YCdIr2
Method: DFT, GGA-PBE
State: optimized geometry

```
data_YCdIr2
_symmetry_space_group_name_H-M 'F -4 3 m'
_symmetry_Int_Tables_number 216
_symmetry_space_group_name_Hall 'F -4 2 3'
_cell_length_a 6.6945
_cell_length_b 6.6945
_cell_length_c 6.6945
_cell_angle_alpha 90.00
_cell_angle_beta 90.00
_cell_angle_gamma 90.00
loop_
_atom_site_label
_atom_site_type_symbol
_atom_site_fract_x
_atom_site_fract_y
_atom_site_fract_z
Y1 Y 0.0000 0.0000 0.0000
Cd1 Cd 0.2500 0.2500 0.7500
Ir1 Ir 0.0000 0.0000 0.5000
Ir2 Ir 0.2500 0.2500 0.2500
```

Properties
total energy	-100.565	eV/cell

---

Record 4
Material: Sm5Al2Ge5
Method: DFT, GGA-PBE
State: optimized geometry

```
data_Sm5Al2Ge5
_symmetry_space_group_name_H-M 'C 1 2/m 1'
_symmetry_Int_Tables_number 12
_symmetry_space_group_name_Hall '-C 2y'
_cell_length_a 15.0899
_cell_length_b 4.2052
_cell_length_c 11.6088
_cell_angle_alpha 90.00
_cell_angle_beta 129.75
_cell_angle_gamma 90.00
loop_
_atom_site_label
_atom_site_type_symbol
_atom_site_fract_x
_atom_site_fract_y
_atom_site_fract_z
Sm1 Sm 0.0000 0.0000 0.0000
Sm2 Sm 0.1065 0.0000 0.4266
Sm3 Sm 0.2016 0.0000 0.8329
Al1 Al 0.1410 0.5000 0.2586
Ge1 Ge 0.0000 0.5000 0.5000
Ge2 Ge 0.0654 0.5000 0.8543
Ge3 Ge 0.2447 0.5000 0.6826
```

Properties
total energy	-125.245	eV/cell

---

Record 5
Material: MoAs2HSe
Method: DFT, GGA-PBE
State: optimized geometry

```
data_MoAs2HSe
_symmetry_space_group_name_H-M 'P 4/m m m'
_symmetry_Int_Tables_number 123
_symmetry_space_group_name_Hall '-P 4 2'
_cell_length_a 3.9201
_cell_length_b 3.9201
_cell_length_c 5.0841
_cell_angle_alpha 90.00
_cell_angle_beta 90.00
_cell_angle_gamma 90.00
loop_
_atom_site_label
_atom_site_type_symbol
_atom_site_fract_x
_atom_site_fract_y
_atom_site_fract_z
Mo1 Mo 0.0000 0.0000 0.0000
As1 As 0.0000 0.5000 0.5000
H1 H 0.5000 0.5000 0.5000
Se1 Se 0.5000 0.5000 0.0000
```

Properties
total energy	-23.466	eV/cell

---

Record 6
Material: Ti2Al2Te
Method: DFT, GGA-PBE
State: optimized geometry

```
data_Ti2Al2Te
_symmetry_space_group_name_H-M 'P 4/m b m'
_symmetry_Int_Tables_number 127
_symmetry_space_group_name_Hall '-P 4 2ab'
_cell_length_a 6.9164
_cell_length_b 6.9164
_cell_length_c 3.9978
_cell_angle_alpha 90.00
_cell_angle_beta 90.00
_cell_angle_gamma 90.00
loop_
_atom_site_label
_atom_site_type_symbol
_atom_site_fract_x
_atom_site_fract_y
_atom_site_fract_z
Ti1 Ti 0.1467 0.3533 0.0000
Al1 Al 0.1435 0.6435 0.5000
Te1 Te 0.0000 0.0000 0.0000
```

Properties
uncorrected formation energy	-0.21	eV per atom

---

Number 1: M_tot 0.00 μB per cell. Number 2: M_tot 16.00 μB per cell. Number 3: M_tot 1.90 μB per cell. Number 4: M_tot 0.00 μB per cell. Number 5: M_tot 1.89 μB per cell. Number 6: M_tot 0.00 μB per cell.